AsH2Au | GGA-PBE | relaxed

Output
- crystal system = cubic
- energy above the lowest structure with this stoichiometry (meV per atom) = 275
- SG = Fm-3m

a = 3.985 Å, b = 3.985 Å, c = 3.985 Å
α = 60.00°, β = 60.00°, γ = 60.00°
Fractional coordinates of all 4 atoms:
As 0.000 0.000 0.000
H 0.250 0.250 0.250
H 0.750 0.750 0.750
Au 0.500 0.500 0.500

CuRe3Ru | GGA-PBE | relaxed

Output
- crystal system = cubic
- energy above the lowest structure with this stoichiometry (meV per atom) = 0
- calculated formation energy (eV per formula unit) = 10.1
- SG = Pm-3m

a = 4.379 Å, b = 4.379 Å, c = 4.379 Å
α = 90.00°, β = 90.00°, γ = 90.00°
Fractional coordinates of all 5 atoms:
Cu 0.000 0.000 0.000
Re 0.000 0.000 0.500
Re 0.000 0.500 0.000
Re 0.500 0.000 0.000
Ru 0.500 0.500 0.500

PaSi2Ru | GGA-PBE | relaxed

Output
- crystal system = tetragonal
- energy relative to the elements, uncorrected (meV per atom) = -416
- SG = P4/mmm

a = 3.030 Å, b = 3.030 Å, c = 7.044 Å
α = 90.00°, β = 90.00°, γ = 90.00°
Fractional coordinates of all 4 atoms:
Pa 0.000 0.000 0.000
Si 0.500 0.500 0.299
Si 0.500 0.500 0.701
Ru 0.000 0.000 0.500

NbCr2N2 | GGA-PBE | relaxed

Output
- crystal system = tetragonal
- energy above the lowest structure with this stoichiometry (meV per atom) = 693
- energy relative to the elements, uncorrected (meV per atom) = 699
- SG = P4/mbm

a = 6.345 Å, b = 6.345 Å, c = 2.594 Å
α = 90.00°, β = 90.00°, γ = 90.00°
Fractional coordinates of all 10 atoms:
Nb 0.000 0.000 0.000
Nb 0.500 0.500 0.000
Cr 0.126 0.374 0.000
Cr 0.374 0.874 0.000
Cr 0.626 0.126 0.000
Cr 0.874 0.626 0.000
N 0.137 0.637 0.500
N 0.363 0.137 0.500
N 0.637 0.863 0.500
N 0.863 0.363 0.500

CePm2CdO | GGA-PBE | relaxed

Output
- crystal system = tetragonal
- energy relative to the elements, uncorrected (meV per atom) = -1235
- SG = P4/mmm

a = 4.968 Å, b = 4.968 Å, c = 4.879 Å
α = 90.00°, β = 90.00°, γ = 90.00°
Fractional coordinates of all 5 atoms:
Ce 0.000 0.000 0.000
Pm 0.000 0.500 0.500
Pm 0.500 0.000 0.500
Cd 0.500 0.500 0.000
O 0.000 0.000 0.500

Ce2TlZn3 | GGA-PBE | relaxed

Output
- crystal system = orthorhombic
- energy above the lowest structure with this stoichiometry (meV per atom) = 0
- calculated formation energy (eV per formula unit) = -1.5
- SG = Fmmm

a = 9.586 Å, b = 8.941 Å, c = 5.870 Å
α = 77.61°, β = 65.65°, γ = 36.74°
Fractional coordinates of all 12 atoms:
Ce 0.213 0.787 0.787
Ce 0.250 0.250 0.250
Ce 0.750 0.750 0.750
Ce 0.787 0.213 0.213
Tl 0.338 0.338 0.662
Tl 0.662 0.662 0.338
Zn 0.165 0.165 0.835
Zn 0.169 0.671 0.329
Zn 0.329 0.831 0.169
Zn 0.671 0.169 0.831
Zn 0.831 0.329 0.671
Zn 0.835 0.835 0.165

ScIn4Cl7 | GGA-PBE | relaxed

Output
- crystal system = monoclinic
- energy relative to the elements, uncorrected (meV per atom) = -1244
- SG = C2/m

a = 10.873 Å, b = 10.873 Å, c = 7.533 Å
α = 107.10°, β = 107.10°, γ = 26.70°
Fractional coordinates of all 12 atoms:
Sc 0.000 0.000 0.000
In 0.310 0.310 0.754
In 0.418 0.418 0.370
In 0.582 0.582 0.630
In 0.690 0.690 0.246
Cl 0.074 0.074 0.327
Cl 0.101 0.101 0.893
Cl 0.280 0.280 0.341
Cl 0.500 0.500 0.000
Cl 0.720 0.720 0.659
Cl 0.899 0.899 0.107
Cl 0.926 0.926 0.673

CdH3Rh3 | GGA-PBE | relaxed

Output
- crystal system = cubic
- energy above the lowest structure with this stoichiometry (meV per atom) = 0
- SG = Pm-3n

a = 5.274 Å, b = 5.274 Å, c = 5.274 Å
α = 90.00°, β = 90.00°, γ = 90.00°
Fractional coordinates of all 14 atoms:
Cd 0.000 0.000 0.000
Cd 0.500 0.500 0.500
H 0.000 0.250 0.500
H 0.000 0.750 0.500
H 0.250 0.500 0.000
H 0.500 0.000 0.250
H 0.500 0.000 0.750
H 0.750 0.500 0.000
Rh 0.000 0.500 0.250
Rh 0.000 0.500 0.750
Rh 0.250 0.000 0.500
Rh 0.500 0.250 0.000
Rh 0.500 0.750 0.000
Rh 0.750 0.000 0.500

Pr4HoTm2Th | GGA-PBE | relaxed

Output
- crystal system = monoclinic
- calculated formation energy (eV per formula unit) = 0.4
- SG = C2/m

a = 6.262 Å, b = 6.262 Å, c = 10.228 Å
α = 114.23°, β = 114.23°, γ = 48.54°
Fractional coordinates of all 8 atoms:
Pr 0.249 0.249 0.123
Pr 0.251 0.251 0.627
Pr 0.749 0.749 0.373
Pr 0.751 0.751 0.877
Ho 0.500 0.500 0.500
Tm 0.002 0.002 0.248
Tm 0.998 0.998 0.752
Th 0.500 0.500 0.000

Cu2TcPb | GGA-PBE | relaxed

Output
- crystal system = monoclinic
- calculated formation energy (eV per formula unit) = 2.0
- SG = C2/m

a = 4.971 Å, b = 4.971 Å, c = 4.715 Å
α = 102.41°, β = 102.41°, γ = 35.58°
Fractional coordinates of all 4 atoms:
Cu 0.238 0.238 0.204
Cu 0.762 0.762 0.796
Tc 0.500 0.500 0.000
Pb 0.000 0.000 0.500

TiZnIF2 | GGA-PBE | relaxed

Output
- crystal system = tetragonal
- energy relative to the elements, uncorrected (meV per atom) = -1012
- SG = P4/mmm

a = 3.987 Å, b = 3.987 Å, c = 6.423 Å
α = 90.00°, β = 90.00°, γ = 90.00°
Fractional coordinates of all 5 atoms:
Ti 0.000 0.000 0.000
Zn 0.000 0.000 0.500
I 0.500 0.500 0.000
F 0.000 0.500 0.500
F 0.500 0.000 0.500

V2HIrAu | GGA-PBE | relaxed

Output
- crystal system = tetragonal
- energy above the lowest structure with this stoichiometry (meV per atom) = 74
- SG = P4/mmm

a = 3.852 Å, b = 3.852 Å, c = 4.069 Å
α = 90.00°, β = 90.00°, γ = 90.00°
Fractional coordinates of all 5 atoms:
V 0.000 0.500 0.000
V 0.500 0.000 0.000
H 0.000 0.000 0.000
Ir 0.500 0.500 0.500
Au 0.000 0.000 0.500

Number 1: total magnetization 0.00 μB per formula unit, N(E_F) 0.37 states/eV per atom. Number 2: total magnetization 0.00 μB per formula unit, N(E_F) 1.01 states/eV per atom. Number 3: total magnetization 0.00 μB per formula unit, N(E_F) 1.26 states/eV per atom. Number 4: total magnetization 0.00 μB per formula unit, N(E_F) 1.04 states/eV per atom. Number 5: total magnetization 0.83 μB per formula unit, N(E_F) 1.56 states/eV per atom. Number 6: total magnetization 2.01 μB per formula unit, N(E_F) 1.79 states/eV per atom. Number 7: total magnetization 0.00 μB per formula unit, N(E_F) 0.00 states/eV per atom. Number 8: total magnetization 0.00 μB per formula unit, N(E_F) 0.57 states/eV per atom. Number 9: total magnetization 0.00 μB per formula unit, N(E_F) 1.59 states/eV per atom. Number 10: total magnetization 0.00 μB per formula unit, N(E_F) 0.55 states/eV per atom. Number 11: total magnetization 2.79 μB per formula unit, N(E_F) 0.76 states/eV per atom. Number 12: total magnetization 0.00 μB per formula unit, N(E_F) 0.60 states/eV per atom.